(1)
# MoH2Rh

An optimized crystal structure of MoH2Rh (PBE, Alexandria via LeMat-Bulk).

a b c (Å): 2.8814 2.8814 14.1313
angles (deg): 90.00 90.00 120.00
Last column: nearest neighbours and their distance in Å.
Space group R-3m (No. 166, hexagonal axes)
One atom of each set of equivalent atoms:
1 Mo 0.0000 0.0000 0.0000 (multiplicity 3)  6 H 2.02
2 H 0.0000 0.0000 0.2521 (multiplicity 6)  3 Mo 2.02, 3 Rh 2.06
3 Rh 0.0000 0.0000 0.5000 (multiplicity 3)  6 H 2.06

- VASP energy (eV/atom) = -6.286

***

(2)
# RbZnBr2

An optimized crystal structure of RbZnBr2 (PBE, Alexandria via LeMat-Bulk).

a b c (Å): 5.2420 5.2420 25.8888
angles (deg): 90.00 90.00 120.00
Last column: nearest neighbours and their distance in Å.
Space group R-3m (No. 166, hexagonal axes)
One atom of each set of equivalent atoms:
1 Rb 0.0000 0.0000 0.0000 (multiplicity 3)  6 Br 3.50
2 Zn 0.0000 0.0000 0.5000 (multiplicity 3)  2 Br 2.55
3 Br 0.0000 0.0000 0.4014 (multiplicity 6)  1 Zn 2.55

- VASP energy (eV/atom) = -2.203

***

(3)
# MgSnHgS4

An optimized crystal structure of MgSnHgS4 (PBE, Alexandria via LeMat-Bulk).

a b c (Å): 7.6863 7.7812 10.7794
angles (deg): 90.00 90.00 90.00
Last column: nearest neighbours and their distance in Å.
Space group Imma (No. 74)
One atom of each set of equivalent atoms:
1 Mg 0.2500 0.2500 0.2500 (multiplicity 4)  6 S 2.58-2.63
2 Sn 0.0000 0.0000 0.0000 (multiplicity 4)  6 S 2.55-2.64
3 Hg 0.0000 0.2500 0.6505 (multiplicity 4)  4 S 2.50-2.67
4 S 0.0000 0.0302 0.2356 (multiplicity 8)  1 Hg 2.50, 1 Sn 2.55, 2 Mg 2.58
5 S 0.2312 0.2500 0.0064 (multiplicity 8)  1 Mg 2.63, 2 Sn 2.64, 1 Hg 2.67

- VASP energy (eV/atom) = -3.808

***

(4)
# Pa2Ge4Ir3Ru

An optimized crystal structure of Pa2Ge4Ir3Ru (PBE, Alexandria via LeMat-Bulk).

a b c (Å): 4.2318 4.2318 10.0364
angles (deg): 90.00 90.00 90.00
Last column: nearest neighbours and their distance in Å.
Space group P-4m2 (No. 115)
One atom of each set of equivalent atoms:
1 Pa 0.0000 0.5000 0.2433 (multiplicity 2)  8 Ge 3.20-3.33, 2 Ru 3.23, 6 Ir 3.23-3.25
2 Ge 0.0000 0.0000 0.5000 (multiplicity 1)  4 Ir 2.48
3 Ge 0.0000 0.5000 0.8693 (multiplicity 2)  3 Ir 2.41-2.49, 2 Ru 2.49
4 Ge 0.5000 0.5000 0.5000 (multiplicity 1)  4 Ir 2.48
5 Ir 0.0000 0.0000 0.0000 (multiplicity 1)  4 Ge 2.49
6 Ir 0.0000 0.5000 0.6294 (multiplicity 2)  5 Ge 2.41-2.48
7 Ru 0.5000 0.5000 0.0000 (multiplicity 1)  4 Ge 2.49

- ΔE_f (eV per formula unit) = -6.6
- VASP energy (eV/atom) = -7.991

***

(5)
# RbCa2N

An optimized crystal structure of RbCa2N (PBE, Alexandria via LeMat-Bulk).

a b c (Å): 10.7108 10.7108 10.7108
angles (deg): 90.00 90.00 90.00
Last column: nearest neighbours and their distance in Å.
Space group Fd-3m (No. 227, origin choice 2)
One atom of each set of equivalent atoms:
1 Rb 0.1250 0.1250 0.1250 (multiplicity 8)  12 Ca 4.44, 4 N 4.64, 4 Rb 4.64
2 Ca 0.0000 0.0000 0.5000 (multiplicity 16)  2 N 2.32
3 N 0.1250 0.1250 0.6250 (multiplicity 8)  4 Ca 2.32

- VASP energy (eV/atom) = -3.610

***

(6)
# SiHg2NF

An optimized crystal structure of SiHg2NF (PBE, Alexandria via LeMat-Bulk).

a b c (Å): 5.2388 5.2388 3.5699
angles (deg): 90.00 90.00 90.00
Last column: nearest neighbours and their distance in Å.
Space group P4/mmm (No. 123)
One atom of each set of equivalent atoms:
1 Si 0.0000 0.0000 0.0000 (multiplicity 1)  8 Hg 3.17
2 Hg 0.0000 0.5000 0.5000 (multiplicity 2)  2 F 2.62
3 N 0.5000 0.5000 0.0000 (multiplicity 1)  2 F 1.78
4 F 0.5000 0.5000 0.5000 (multiplicity 1)  2 N 1.78

- VASP energy (eV/atom) = -2.150

***

(7)
# Zn2WSe

An optimized crystal structure of Zn2WSe (PBE, Alexandria via LeMat-Bulk).

a b c (Å): 6.3589 6.3589 6.3589
angles (deg): 90.00 90.00 90.00
Last column: nearest neighbours and their distance in Å.
Space group F-43m (No. 216)
One atom of each set of equivalent atoms:
1 Zn 0.0000 0.0000 0.0000 (multiplicity 4)  4 Zn 2.75, 4 W 2.75
2 Zn 0.2500 0.2500 0.2500 (multiplicity 4)  4 Se 2.75, 4 Zn 2.75
3 W 0.2500 0.2500 0.7500 (multiplicity 4)  4 Se 2.75, 4 Zn 2.75
4 Se 0.0000 0.0000 0.5000 (multiplicity 4)  4 W 2.75, 4 Zn 2.75

- VASP energy (eV/atom) = -4.102

***

(8)
# DyHo2Ru

An optimized crystal structure of DyHo2Ru (PBE, Alexandria via LeMat-Bulk).

a b c (Å): 3.4172 3.4172 8.8556
angles (deg): 90.00 90.00 90.00
Last column: nearest neighbours and their distance in Å.
Space group P4/mmm (No. 123)
One atom of each set of equivalent atoms:
1 Dy 0.0000 0.0000 0.0000 (multiplicity 1)  4 Dy 3.42, 8 Ho 3.69
2 Ho 0.5000 0.5000 0.3149 (multiplicity 2)  4 Ru 2.92
3 Ru 0.0000 0.0000 0.5000 (multiplicity 1)  8 Ho 2.92

- ΔE_f (eV per formula unit) = -0.9
- VASP energy (eV/atom) = -5.980

***

(9)
# BeV2Au2

An optimized crystal structure of BeV2Au2 (PBE, Alexandria via LeMat-Bulk).

a b c (Å): 6.1197 6.1197 4.1533
angles (deg): 90.00 90.00 90.00
Last column: nearest neighbours and their distance in Å.
Space group P4/mbm (No. 127)
One atom of each set of equivalent atoms:
1 Be 0.0000 0.0000 0.0000 (multiplicity 2)  4 V 2.39
2 V 0.1325 0.3675 0.0000 (multiplicity 4)  1 V 2.29, 2 Be 2.39
3 Au 0.1645 0.6645 0.5000 (multiplicity 4)  6 V 2.72-2.77, 1 Au 2.85

- ΔE_f (eV per formula unit) = 2.2
- VASP energy (eV/atom) = -5.270

***

(10)
# BPH

An optimized crystal structure of BPH (PBE, Alexandria via LeMat-Bulk).

a b c (Å): 2.5963 3.8735 5.5280
angles (deg): 90.00 90.00 90.00
Last column: nearest neighbours and their distance in Å.
Space group Amm2 (No. 38)
One atom of each set of equivalent atoms:
1 B 0.0000 0.0000 0.0000 (multiplicity 2)  2 H 1.36
2 P 0.0000 0.0000 0.3550 (multiplicity 2)  3 B 1.96-2.10
3 H 0.5000 0.0000 0.9253 (multiplicity 2)  2 B 1.36

- VASP energy (eV/atom) = -4.822

***

(11)
# FeNiPt2

An optimized crystal structure of FeNiPt2 (PBE, Alexandria via LeMat-Bulk).

a b c (Å): 2.7115 2.7115 7.4692
angles (deg): 90.00 90.00 90.00
Last column: nearest neighbours and their distance in Å.
Space group P4mm (No. 99)
One atom of each set of equivalent atoms:
1 Fe 0.0000 0.0000 0.0000 (multiplicity 1)  4 Ni 2.52, 4 Pt 2.66, 4 Fe 2.71
2 Ni 0.5000 0.5000 0.2183 (multiplicity 1)  4 Fe 2.52, 4 Pt 2.66, 4 Ni 2.71
3 Pt 0.0000 0.0000 0.4652 (multiplicity 1)  4 Ni 2.66, 8 Pt 2.71-2.88
4 Pt 0.5000 0.5000 0.7522 (multiplicity 1)  4 Fe 2.66, 8 Pt 2.71-2.88

- ΔE_f (eV per formula unit) = -0.5
- VASP energy (eV/atom) = -6.709

***

(12)
# Y2MgZn7

An optimized crystal structure of Y2MgZn7 (PBE, Alexandria via LeMat-Bulk).

a b c (Å): 4.1202 4.1202 11.1801
angles (deg): 90.00 90.00 90.00
Last column: nearest neighbours and their distance in Å.
Space group P-4m2 (No. 115)
One atom of each set of equivalent atoms:
1 Y 0.0000 0.5000 0.2343 (multiplicity 2)  12 Zn 3.13-3.33
2 Mg 0.0000 0.0000 0.5000 (multiplicity 1)  8 Zn 2.66-2.91
3 Zn 0.0000 0.0000 0.0000 (multiplicity 1)  4 Zn 2.53
4 Zn 0.0000 0.5000 0.6499 (multiplicity 2)  3 Zn 2.45-2.66, 2 Mg 2.66
5 Zn 0.0000 0.5000 0.8688 (multiplicity 2)  5 Zn 2.45-2.53
6 Zn 0.5000 0.5000 0.0000 (multiplicity 1)  4 Zn 2.53
7 Zn 0.5000 0.5000 0.5000 (multiplicity 1)  4 Zn 2.66, 4 Mg 2.91

- ΔE_f (eV per formula unit) = -2.9
- VASP energy (eV/atom) = -2.634

***

(13)
# Ba2TbPaSb4

An optimized crystal structure of Ba2TbPaSb4 (PBE, Alexandria via LeMat-Bulk).

a b c (Å): 7.9282 4.6336 8.3512
angles (deg): 90.00 108.66 90.00
Last column: nearest neighbours and their distance in Å.
Space group P2/m (No. 10)
One atom of each set of equivalent atoms:
1 Ba 0.0000 0.0000 0.0000 (multiplicity 1)  6 Sb 3.55-3.56
2 Ba 0.5000 0.5000 0.0000 (multiplicity 1)  6 Sb 3.48-3.49
3 Tb 0.0000 0.5000 0.5000 (multiplicity 1)  6 Sb 3.16-3.17
4 Pa 0.5000 0.0000 0.5000 (multiplicity 1)  6 Sb 3.06-3.10
5 Sb 0.2452 0.0000 0.7092 (multiplicity 2)  1 Pa 3.06, 2 Tb 3.17
6 Sb 0.2713 0.5000 0.2934 (multiplicity 2)  2 Pa 3.10, 1 Tb 3.16

- VASP energy (eV/atom) = -5.228

***

(14)
# Al2C

An optimized crystal structure of Al2C (PBE, Alexandria via LeMat-Bulk).

a b c (Å): 4.6496 5.0993 3.0967
angles (deg): 90.00 90.00 90.00
Last column: nearest neighbours and their distance in Å.
Space group Pnnm (No. 58)
One atom of each set of equivalent atoms:
1 Al 0.2388 0.1454 0.0000 (multiplicity 4)  3 C 2.10-2.12
2 C 0.0000 0.5000 0.0000 (multiplicity 2)  6 Al 2.10-2.12

- ΔE_f (eV per formula unit) = 0.8
- VASP energy (eV/atom) = -5.310

***

(15)
# LaMoP2

An optimized crystal structure of LaMoP2 (PBE, Alexandria via LeMat-Bulk).

a b c (Å): 3.8766 3.8766 18.4202
angles (deg): 90.00 90.00 120.00
Last column: nearest neighbours and their distance in Å.
Space group R-3m (No. 166, hexagonal axes)
One atom of each set of equivalent atoms:
1 La 0.0000 0.0000 0.0000 (multiplicity 3)  6 P 2.91
2 Mo 0.0000 0.0000 0.5000 (multiplicity 3)  6 P 2.54
3 P 0.0000 0.0000 0.2320 (multiplicity 6)  3 Mo 2.54

- ΔE_f (eV per formula unit) = -3.2
- VASP energy (eV/atom) = -7.448

***

(16)
# LaMgH2N

An optimized crystal structure of LaMgH2N (PBE, Alexandria via LeMat-Bulk).

a b c (Å): 5.3066 5.3066 8.6177
angles (deg): 90.00 90.00 90.00
Last column: nearest neighbours and their distance in Å.
Space group I4/mcm (No. 140)
One atom of each set of equivalent atoms:
1 La 0.0000 0.5000 0.2500 (multiplicity 4)  4 H 2.50, 4 N 2.65
2 Mg 0.0000 0.0000 0.0000 (multiplicity 4)  4 H 1.97, 2 N 2.15
3 H 0.1702 0.3298 0.0000 (multiplicity 8)  2 Mg 1.97
4 N 0.0000 0.0000 0.2500 (multiplicity 4)  2 Mg 2.15

- VASP energy (eV/atom) = -5.055

***

(17)
# Mg3Ag7Sn

An optimized crystal structure of Mg3Ag7Sn (PBE, Alexandria via LeMat-Bulk).

a b c (Å): 9.5801 9.8796 5.3281
angles (deg): 90.00 115.62 90.00
Last column: nearest neighbours and their distance in Å.
Space group C2/m (No. 12)
One atom of each set of equivalent atoms:
1 Mg 0.0000 0.0000 0.0000 (multiplicity 2)  6 Ag 2.73-2.80
2 Mg 0.0000 0.2128 0.5000 (multiplicity 4)  7 Ag 2.81-2.88
3 Ag 0.0000 0.5000 0.5000 (multiplicity 2)  2 Sn 2.66, 2 Mg 2.84, 2 Ag 2.95
4 Ag 0.1743 0.2377 0.1792 (multiplicity 8)  3 Mg 2.80-2.88, 5 Ag 2.86-3.09, 1 Sn 3.01
5 Ag 0.2048 0.0000 0.5489 (multiplicity 4)  3 Mg 2.73-2.81, 1 Sn 2.81, 5 Ag 2.95-3.00
6 Sn 0.0000 0.5000 0.0000 (multiplicity 2)  4 Ag 2.66-2.81

- ΔE_f (eV per formula unit) = 0.1
- VASP energy (eV/atom) = -2.601

***

(18)
# Nd2Ga2PdPt5

An optimized crystal structure of Nd2Ga2PdPt5 (PBE, Alexandria via LeMat-Bulk).

a b c (Å): 9.8374 9.8374 3.8019
angles (deg): 90.00 90.00 90.00
Last column: nearest neighbours and their distance in Å.
Space group P4/mbm (No. 127)
One atom of each set of equivalent atoms:
1 Nd 0.1780 0.3220 0.0000 (multiplicity 4)  3 Ga 2.79-3.00
2 Ga 0.1218 0.6218 0.0000 (multiplicity 4)  6 Pt 2.55-2.63, 1 Nd 2.79
3 Pd 0.0000 0.0000 0.0000 (multiplicity 2)  8 Pt 2.83
4 Pt 0.0000 0.5000 0.5000 (multiplicity 2)  4 Ga 2.55
5 Pt 0.0605 0.7959 0.5000 (multiplicity 8)  2 Ga 2.63, 2 Pd 2.83

- ΔE_f (eV per formula unit) = -7.8
- VASP energy (eV/atom) = -5.878

***

(19)
# Th5ZnSe4

An optimized crystal structure of Th5ZnSe4 (PBE, Alexandria via LeMat-Bulk).

a b c (Å): 9.4886 9.4886 5.9484
angles (deg): 90.00 90.00 90.00
Last column: nearest neighbours and their distance in Å.
Space group I4/m (No. 87)
One atom of each set of equivalent atoms:
1 Th 0.0000 0.0000 0.0000 (multiplicity 2)  2 Zn 2.97, 4 Se 3.01
2 Th 0.1016 0.2976 0.5000 (multiplicity 8)  5 Se 2.97-3.01, 1 Zn 2.98
3 Zn 0.0000 0.0000 0.5000 (multiplicity 2)  6 Th 2.97-2.98
4 Se 0.1000 0.3012 0.0000 (multiplicity 8)  6 Th 2.97-3.01

- VASP energy (eV/atom) = -6.492

***

(20)
# LiSnO3

An optimized crystal structure of LiSnO3 (PBE, Alexandria via LeMat-Bulk).

a b c (Å): 3.5997 3.5997 3.5997
angles (deg): 90.00 90.00 90.00
Last column: nearest neighbours and their distance in Å.
Space group Pm-3m (No. 221)
One atom of each set of equivalent atoms:
1 Li 0.0000 0.0000 0.0000 (multiplicity 1)  6 O 1.80
2 Sn 0.5000 0.5000 0.5000 (multiplicity 1)  12 O 2.55
3 O 0.0000 0.0000 0.5000 (multiplicity 3)  2 Li 1.80

- VASP energy (eV/atom) = -4.624

***

(21)
# Ca3ZnBi

An optimized crystal structure of Ca3ZnBi (PBE, Alexandria via LeMat-Bulk).

a b c (Å): 6.0112 6.0112 6.0112
angles (deg): 90.00 90.00 90.00
Last column: nearest neighbours and their distance in Å.
Space group Pm-3m (No. 221)
One atom of each set of equivalent atoms:
1 Ca 0.0000 0.0000 0.5000 (multiplicity 3)  2 Bi 3.01
2 Zn 0.5000 0.5000 0.5000 (multiplicity 1)  12 Ca 4.25
3 Bi 0.0000 0.0000 0.0000 (multiplicity 1)  6 Ca 3.01

- ΔE_f (eV per formula unit) = -0.2
- VASP energy (eV/atom) = -2.274

***

(22)
# LuMgAg

An optimized crystal structure of LuMgAg (PBE, Alexandria via LeMat-Bulk).

a b c (Å): 4.8732 4.8732 3.2929
angles (deg): 90.00 90.00 120.00
Last column: nearest neighbours and their distance in Å.
Space group P-6m2 (No. 187)
One atom of each set of equivalent atoms:
1 Lu 0.0000 0.0000 0.0000 (multiplicity 1)  6 Ag 3.26, 6 Mg 3.26, 2 Lu 3.29
2 Mg 0.3333 0.6667 0.5000 (multiplicity 1)  3 Ag 2.81
3 Ag 0.6667 0.3333 0.5000 (multiplicity 1)  3 Mg 2.81

- ΔE_f (eV per formula unit) = -0.4
- VASP energy (eV/atom) = -3.134

***

(23)
# Zn2SbRh

An optimized crystal structure of Zn2SbRh (PBE, Alexandria via LeMat-Bulk).

a b c (Å): 3.5402 3.5402 5.4652
angles (deg): 90.00 90.00 90.00
Last column: nearest neighbours and their distance in Å.
Space group P4mm (No. 99)
One atom of each set of equivalent atoms:
1 Zn 0.0000 0.0000 0.0000 (multiplicity 1)  2 Rh 2.61-2.86, 4 Zn 2.75
2 Zn 0.5000 0.5000 0.2079 (multiplicity 1)  2 Sb 2.65-2.81, 4 Zn 2.75, 4 Rh 2.90
3 Sb 0.5000 0.5000 0.6935 (multiplicity 1)  2 Zn 2.65-2.81, 4 Rh 2.77
4 Rh 0.0000 0.0000 0.4770 (multiplicity 1)  6 Zn 2.61-2.90, 4 Sb 2.77

- VASP energy (eV/atom) = -3.625

***

(24)
# Ta3AsO

An optimized crystal structure of Ta3AsO (PBE, Alexandria via LeMat-Bulk).

a b c (Å): 4.2316 4.2316 4.2316
angles (deg): 90.00 90.00 90.00
Last column: nearest neighbours and their distance in Å.
Space group Pm-3m (No. 221)
One atom of each set of equivalent atoms:
1 Ta 0.0000 0.0000 0.5000 (multiplicity 3)  2 O 2.12
2 As 0.5000 0.5000 0.5000 (multiplicity 1)  12 Ta 2.99
3 O 0.0000 0.0000 0.0000 (multiplicity 1)  6 Ta 2.12

- VASP energy (eV/atom) = -9.464

***

(25)
# CoBRhN2

An optimized crystal structure of CoBRhN2 (PBE, Alexandria via LeMat-Bulk).

a b c (Å): 3.3576 3.3576 4.4414
angles (deg): 90.00 90.00 90.00
Last column: nearest neighbours and their distance in Å.
Space group P4/mmm (No. 123)
One atom of each set of equivalent atoms:
1 Co 0.0000 0.0000 0.0000 (multiplicity 1)  4 Rh 2.37
2 B 0.5000 0.5000 0.5000 (multiplicity 1)  4 N 1.68
3 Rh 0.5000 0.5000 0.0000 (multiplicity 1)  2 B 2.22, 4 Co 2.37
4 N 0.0000 0.5000 0.5000 (multiplicity 2)  2 B 1.68

- VASP energy (eV/atom) = -6.083